Density functional theory data (GGA-PBE) for PrTm3Rh8 after structural relaxation.

a = 5.335 Å, b = 5.335 Å, c = 8.737 Å
α = 90.00°, β = 90.00°, γ = 120.00°
Fractional coordinates of all 12 atoms:
Pr (0.000, 0.000, 0.000)
Tm (0.000, 0.000, 0.368)
Tm (0.667, 0.333, 0.497)
Tm (0.667, 0.333, 0.862)
Rh (0.165, 0.329, 0.679)
Rh (0.165, 0.835, 0.679)
Rh (0.333, 0.667, 0.432)
Rh (0.333, 0.667, 0.931)
Rh (0.502, 0.005, 0.187)
Rh (0.502, 0.498, 0.187)
Rh (0.671, 0.835, 0.679)
Rh (0.995, 0.498, 0.187)

Output
energy of formation from the pure elements	-701	meV/atom
uncorrected energy	-7.118	eV per atom
magnetic moment	0.00	μB/cell
space group	P3m1 (156)
ρ	11.34	Mg/m³